[1]
LaTbNdHo2 | Alexandria via LeMat-Bulk | PBE | optimized geometry; space group = Cmcm, No. 63; total magnetization = 0.000 Bohr magnetons per cell; VASP energy = -4.343 eV/atom; N(E_F) = 16.2 states/eV per cell; DFT formation energy = 0.353 eV/atom
1.0
-3.8910 1.7302 5.8349
-5.4769 -6.2049 -1.8124
5.8707 -0.5925 4.0906
La Tb Nd Ho
2 2 2 4
Cartesian
-4.1905 -3.5344 4.9606
0.6932 -1.5327 3.1525
-2.3385 -4.2893 1.9482
-1.1588 -0.7779 6.1649
-0.9669 0.4256 1.4647
-2.5304 -5.4928 6.6484
-3.6591 -1.0762 2.3504
-3.7633 -4.2635 -1.2453
-5.7089 -3.3984 1.6721
-1.7136 -1.9413 -0.5670

---

[2]
La3TbNd2Ho6 | Alexandria via LeMat-Bulk | PBE | optimized geometry; space group = C2/m, No. 12; total magnetization = 0.000 Bohr magnetons per cell; VASP energy = -4.686 eV/atom; N(E_F) = 14.4 states/eV per cell; DFT formation energy = 0.015 eV/atom
1.0
6.2695 -0.0010 0.0058
-3.1341 5.4299 0.0058
-1.0543 -1.8256 11.6555
La Tb Nd Ho
3 1 2 6
Cartesian
-2.0909 3.6102 5.8336
4.1720 -0.0069 5.8336
1.0405 1.8017 5.8336
0.0000 0.0000 0.0000
0.0025 3.6185 0.0058
3.1330 1.8105 0.0058
3.1270 1.8006 8.7853
2.0893 3.6176 2.8899
-1.0459 1.8028 2.8818
-0.0031 3.6083 8.7853
-0.0082 -0.0143 8.7772
2.0842 -0.0050 2.8818

---

[3]
La3Tb2NdHo6 | Alexandria via LeMat-Bulk | PBE | optimized geometry; space group = C2/m, No. 12; total magnetization = 0.000 Bohr magnetons per cell; VASP energy = -4.672 eV/atom; N(E_F) = 15.1 states/eV per cell; DFT formation energy = 0.018 eV/atom
1.0
-0.8585 5.5277 2.7824
-1.6169 -5.2661 2.9476
11.4939 -0.7658 2.7341
La Tb Nd Ho
3 2 1 6
Cartesian
4.2566 -3.8482 4.2871
4.7619 3.3441 4.1770
4.5093 -0.2521 4.2320
-1.3642 -1.6691 2.8925
-1.1112 1.9308 2.8374
0.0000 0.0000 0.0000
6.9333 1.4211 6.3378
0.9773 0.0072 4.9594
2.0852 -1.9252 2.1262
6.6801 -2.1827 6.3930
8.0412 -0.5114 3.5046
2.3384 1.6786 2.0711

---

[4]
LaTbNd6Ho2 | Alexandria via LeMat-Bulk | PBE | optimized geometry; space group = C2/c, No. 15; total magnetization = 0.001 Bohr magnetons per cell; VASP energy = -4.618 eV/atom; N(E_F) = 29.7 states/eV per cell; DFT formation energy = 0.114 eV/atom
1.0
-9.1885 -2.2963 -2.4929
-0.1726 -4.7802 7.6001
-1.6683 8.8033 0.6008
La Tb Nd Ho
2 2 12 4
Cartesian
-3.3581 2.7135 2.8197
-7.6713 -0.9867 2.8883
-2.5152 -4.9410 6.7639
-8.5141 6.6678 -1.0560
-1.7943 6.0344 1.1563
-5.6122 5.6633 1.2519
-9.2350 -4.3076 4.5517
-5.4171 -3.9365 4.4561
-3.8127 -1.6047 6.9298
-1.8027 -2.9649 3.8607
-7.2167 3.3316 -1.2218
-9.2266 4.6917 1.8473
-2.0460 0.6675 5.3508
-4.0678 -0.7110 3.1075
-8.9834 1.0593 0.3572
-6.9615 2.4379 2.6005
-5.4882 1.3483 5.4145
-0.8026 0.2158 2.2154
-5.5412 0.3785 0.2935
-10.2268 1.5110 3.4926

---

Question: What is the formula in the fourth record?
Answer: LaTbNd6Ho2